1.
Entry from the Alexandria database: a relaxed structure of Bi6Pt3Rh (PBE).

a b c (Å): 7.379 6.773 12.165
angles (deg): 90.00 125.19 90.00
Space group P2_1/c (No. 14)
Inequivalent atoms, fractional coordinates:
Bi  0.081  0.019  0.255 [4 per cell]
Bi  0.259  0.145  0.594 [4 per cell]
Bi  0.402  0.659  0.576 [4 per cell]
Pt  0.000  0.000  0.000 [2 per cell]
Pt  0.315  0.663  0.282 [4 per cell]
Rh  0.500  0.000  0.500 [2 per cell]

Output
E, eV/f.u.: -50.51
Energy of formation, eV/atom: -0.175

---

2.
Entry from the Alexandria database: a relaxed structure of BiPt2Rh2 (PBE).

a b c (Å): 7.335 7.335 3.314
angles (deg): 90.00 90.00 90.00
Space group P4/mbm (No. 127)
Inequivalent atoms, fractional coordinates:
Bi  0.000  0.000  0.000 [2 per cell]
Pt  0.131  0.369  0.000 [4 per cell]
Rh  0.162  0.662  0.500 [4 per cell]

Output
E, eV/f.u.: -29.68
Energy of formation, eV/atom: 0.197

---

3.
Entry from the Alexandria database: a relaxed structure of Bi2Sb2Pt7Rh (PBE).

a b c (Å): 3.991 3.991 32.046
angles (deg): 90.00 90.00 90.00
Space group I4/mmm (No. 139)
Inequivalent atoms, fractional coordinates:
Bi  0.000  0.000  0.213 [4 per cell]
Sb  0.000  0.000  0.383 [4 per cell]
Pt  0.000  0.000  0.302 [4 per cell]
Pt  0.000  0.000  0.500 [2 per cell]
Pt  0.000  0.500  0.063 [8 per cell]
Rh  0.000  0.000  0.000 [2 per cell]

Output
E, eV/f.u.: -68.33
Formation energy (no corrections), eV/atom: -0.2241

---

4.
Entry from the Alexandria database: a relaxed structure of Sn2Bi2Pt7Rh (PBE).

a b c (Å): 3.959 3.959 32.468
angles (deg): 90.00 90.00 90.00
Space group I4/mmm (No. 139)
Inequivalent atoms, fractional coordinates:
Sn  0.000  0.000  0.118 [4 per cell]
Bi  0.000  0.000  0.287 [4 per cell]
Pt  0.000  0.000  0.000 [2 per cell]
Pt  0.000  0.000  0.199 [4 per cell]
Pt  0.000  0.500  0.062 [8 per cell]
Rh  0.000  0.000  0.500 [2 per cell]

Output
E, eV/f.u.: -68.22
Energy of formation, eV/atom: -0.235

---

5.
Entry from the Alexandria database: a relaxed structure of Sr2Bi4PtRh3 (PBE).

a b c (Å): 4.844 4.844 10.716
angles (deg): 90.00 90.00 90.00
Space group P-4m2 (No. 115)
Inequivalent atoms, fractional coordinates:
Sr  0.000  0.500  0.242 [2 per cell]
Bi  0.000  0.000  0.500 [1 per cell]
Bi  0.000  0.500  0.875 [2 per cell]
Bi  0.500  0.500  0.500 [1 per cell]
Pt  0.500  0.500  0.000 [1 per cell]
Rh  0.000  0.000  0.000 [1 per cell]
Rh  0.000  0.500  0.624 [2 per cell]

Output
E, eV/f.u.: -51.46
Energy of formation, eV/atom: -0.447

---

6.
Entry from the Alexandria database: a relaxed structure of TbBiPtRh (PBE).

a b c (Å): 6.912 6.912 6.912
angles (deg): 90.00 90.00 90.00
Space group F-43m (No. 216)
Inequivalent atoms, fractional coordinates:
Tb  0.000  0.000  0.000 [4 per cell]
Bi  0.000  0.000  0.500 [4 per cell]
Pt  0.250  0.250  0.750 [4 per cell]
Rh  0.250  0.250  0.250 [4 per cell]

Output
E, eV/f.u.: -24.37
Energy of formation, eV/atom: -0.617

---

7.
Entry from the Alexandria database: a relaxed structure of YBiPtRh (PBE).

a b c (Å): 6.907 6.907 6.907
angles (deg): 90.00 90.00 90.00
Space group F-43m (No. 216)
Inequivalent atoms, fractional coordinates:
Y  0.000  0.000  0.000 [4 per cell]
Bi  0.000  0.000  0.500 [4 per cell]
Pt  0.250  0.250  0.750 [4 per cell]
Rh  0.250  0.250  0.250 [4 per cell]

Output
E, eV/f.u.: -26.20
Energy of formation, eV/atom: -0.615

---

8.
Entry from the Alexandria database: a relaxed structure of BiRu3Pt (PBE).

a b c (Å): 4.811 4.811 4.811
angles (deg): 90.00 90.00 90.00
Space group Pm-3m (No. 221)
Inequivalent atoms, fractional coordinates:
Bi  0.000  0.000  0.000 [1 per cell]
Ru  0.000  0.500  0.500 [3 per cell]
Pt  0.500  0.500  0.500 [1 per cell]

Output
E, eV/f.u.: -29.86
Energy of formation, eV/atom: 1.579

---

9.
Entry from the Alexandria database: a relaxed structure of BiRuPt (PBE).

a b c (Å): 4.0171 4.0171 9.0842
angles (deg): 90.00 90.00 120.00
Space group P-6m2 (No. 187)
Inequivalent atoms, fractional coordinates:
Bi  0.0000  0.0000  0.1862 [2 per cell]
Ru  0.6667  0.3333  0.3551 [2 per cell]
Pt  0.0000  0.0000  0.5000 [1 per cell]
Pt  0.6667  0.3333  0.0000 [1 per cell]

Output
E, eV/f.u.: -18.15
Energy of formation, eV/atom: 0.349

---

10.
Entry from the Alexandria database: a relaxed structure of TaBiRuPt2 (PBE).

a b c (Å): 4.969 4.969 4.660
angles (deg): 90.00 90.00 90.00
Space group P4/mmm (No. 123)
Inequivalent atoms, fractional coordinates:
Ta  0.000  0.000  0.000 [1 per cell]
Bi  0.500  0.500  0.500 [1 per cell]
Ru  0.000  0.000  0.500 [1 per cell]
Pt  0.000  0.500  0.000 [2 per cell]

Output
E, eV/f.u.: -33.33
Energy of formation, eV/atom: 0.753

---

11.
Entry from the Alexandria database: a relaxed structure of Tl2BiRuPt (PBE).

a b c (Å): 5.169 5.169 5.600
angles (deg): 90.00 90.00 90.00
Space group P4/mmm (No. 123)
Inequivalent atoms, fractional coordinates:
Tl  0.000  0.500  0.000 [2 per cell]
Bi  0.000  0.000  0.500 [1 per cell]
Ru  0.500  0.500  0.500 [1 per cell]
Pt  0.000  0.000  0.000 [1 per cell]

Output
E, eV/f.u.: -19.23
Energy of formation, eV/atom: 0.939

---

12.
Entry from the Alexandria database: a relaxed structure of TlBiRu2Pt (PBE).

a b c (Å): 5.030 5.030 5.011
angles (deg): 90.00 90.00 90.00
Space group P4/mmm (No. 123)
Inequivalent atoms, fractional coordinates:
Tl  0.000  0.000  0.000 [1 per cell]
Bi  0.500  0.500  0.500 [1 per cell]
Ru  0.000  0.500  0.000 [2 per cell]
Pt  0.000  0.000  0.500 [1 per cell]

Output
E, eV/f.u.: -22.60
Energy of formation, eV/atom: 1.647